1.
An optimized crystal structure of BaZrRh4. Source: Alexandria via LeMat-Bulk, functional PBE-GGA.

```
BaZrRh4
1.0
0.0000 3.8201 3.8201
3.8201 0.0000 3.8201
3.8201 3.8201 0.0000
Rh Ba Zr
4 1 1
Cartesian
4.7677 4.7677 2.8724
4.7677 2.8724 4.7677
2.8724 2.8724 2.8724
2.8724 4.7677 4.7677
0.0000 0.0000 0.0000
5.7301 5.7301 5.7301
```

Calculated values
Final energy in eV per atom: -6.84
DFT formation energy in eV per atom: -0.195
Crystal system: cubic

2.
An optimized crystal structure of Y2Ho3PuS6. Source: Alexandria via LeMat-Bulk, functional PBE-GGA.

```
Y2Ho3PuS6
1.0
3.8904 0.0000 0.0000
0.0000 7.8370 0.2779
-1.9452 -2.2605 8.2126
S Ho Y Pu
6 3 2 1
Cartesian
1.9452 -0.2674 8.2666
0.0000 5.8439 0.2240
0.0000 5.6916 5.6942
0.0000 1.7468 5.5825
1.9452 3.8297 2.9080
1.9452 -0.1152 2.7963
0.0000 5.8013 2.9495
1.9452 -0.2248 5.5410
1.9452 3.9185 0.1390
0.0000 1.8340 2.7858
1.9452 3.7424 5.7047
1.9452 0.0000 0.0000
```

Calculated values
Final energy in eV per atom: -7.45
ΔE_f (raw) in eV/atom: -1.97
Crystal system: monoclinic

3.
An optimized crystal structure of K2Tl3Te6Mo. Source: Alexandria via LeMat-Bulk, functional PBE-GGA.

```
K2Tl3Te6Mo
1.0
8.6876 -0.3604 -0.0198
-4.6538 7.3448 -0.0198
-1.3630 -2.3600 7.2422
Te Mo Tl K
6 1 3 2
Cartesian
-1.1808 1.8725 1.6533
3.8516 2.7518 5.5493
-0.1572 -0.2722 5.8047
2.2120 -0.0870 1.6533
2.8279 4.8965 1.3979
0.4587 4.7113 5.5493
0.0000 0.0000 0.0000
1.3354 2.3122 3.6013
-3.6840 5.2110 3.6013
6.3547 -0.5867 3.6013
-0.3987 4.8873 -0.0198
4.4325 2.0971 -0.0198
```

Calculated values
Final energy in eV per atom: -3.58
ΔE_f (raw) in eV/atom: -0.33
Crystal system: monoclinic

4.
An optimized crystal structure of Y2FeHg. Source: Alexandria via LeMat-Bulk, functional PBE-GGA.

```
Y2FeHg
1.0
5.1253 0.0273 0.0000
-0.0256 5.1253 0.0000
0.0000 0.0000 3.5567
Fe Hg Y
1 1 2
Cartesian
2.5627 0.0136 1.7783
-0.0128 2.5627 1.7783
0.0000 0.0000 0.0000
2.5498 2.5763 0.0000
```

Calculated values
Final energy in eV per atom: -5.52
DFT formation energy in eV per atom: -0.093
Crystal system: tetragonal

One value per record, in order, for density of states at the Fermi level: 4.04; 6.93; 3.38; 6.85 states/eV/cell.